Entry 1:
This record from Alexandria describes crystalline K2InRh at its relaxed geometry. The functional is PBE-GGA.

**Fermi-level density of states**: 3.030 states/eV/cell
**Symmetry**: No. 12
**Total energy**: -3.09 eV per atom
**M_tot**: 0.001 μB/f.u.

CIF file:
```
data_K2InRh
_chemical_formula_sum 'K2 In1 Rh1'
_cell_length_a 10.237
_cell_length_b 10.237
_cell_length_c 4.265
_cell_angle_alpha 77.83
_cell_angle_beta 77.83
_cell_angle_gamma 18.75
_space_group_name_H-M_alt 'P 1'
_space_group_IT_number 1
_space_group_name_Hall 'P 1'
loop_
_atom_site_label
_atom_site_type_symbol
_atom_site_fract_x
_atom_site_fract_y
_atom_site_fract_z
_atom_site_occupancy
In1 In 0.750 0.750 0.750 1
K1 K 0.897 0.897 0.102 1
K2 K 0.603 0.603 0.398 1
Rh1 Rh 0.250 0.250 0.250 1
```

---

Entry 2:
This record from Alexandria describes crystalline Ti2SnSe at its relaxed geometry. The functional is PBE-GGA.

**Fermi-level density of states**: 11.410 states/eV/cell
**Polymorph energy (0 for the lowest one)**: 0.621 eV per atom
**Symmetry**: No. 122
**Total energy**: -5.77 eV per atom
**M_tot**: 1.012 μB/f.u.

CIF file:
```
data_Ti2SnSe
_chemical_formula_sum 'Ti4 Sn2 Se2'
_cell_length_a 6.026
_cell_length_b 6.026
_cell_length_c 7.344
_cell_angle_alpha 65.78
_cell_angle_beta 65.78
_cell_angle_gamma 90.00
_space_group_name_H-M_alt 'P 1'
_space_group_IT_number 1
_space_group_name_Hall 'P 1'
loop_
_atom_site_label
_atom_site_type_symbol
_atom_site_fract_x
_atom_site_fract_y
_atom_site_fract_z
_atom_site_occupancy
Sn1 Sn 0.000 0.000 0.000 1
Sn2 Sn 0.750 0.250 0.500 1
Se1 Se 0.500 0.500 0.000 1
Se2 Se 0.250 0.750 0.500 1
Ti1 Ti 0.595 0.125 0.250 1
Ti2 Ti 0.155 0.625 0.250 1
Ti3 Ti 0.375 0.405 0.750 1
Ti4 Ti 0.875 0.845 0.750 1
```

---

Entry 3:
This record from Alexandria describes crystalline ZnIn2CuNi at its relaxed geometry. The functional is PBE-GGA.

**Fermi-level density of states**: 3.690 states/eV/cell
**Symmetry**: No. 123
**Total energy**: -2.74 eV per atom
**M_tot**: 0.028 μB/f.u.

CIF file:
```
data_ZnIn2CuNi
_chemical_formula_sum 'Zn1 In2 Cu1 Ni1'
_cell_length_a 4.887
_cell_length_b 4.538
_cell_length_c 4.887
_cell_angle_alpha 90.00
_cell_angle_beta 90.00
_cell_angle_gamma 90.00
_space_group_name_H-M_alt 'P 1'
_space_group_IT_number 1
_space_group_name_Hall 'P 1'
loop_
_atom_site_label
_atom_site_type_symbol
_atom_site_fract_x
_atom_site_fract_y
_atom_site_fract_z
_atom_site_occupancy
Ni1 Ni 0.500 0.500 0.500 1
Zn1 Zn 0.000 0.500 0.000 1
Cu1 Cu 0.000 0.000 0.000 1
In1 In 0.000 0.000 0.500 1
In2 In 0.500 0.000 0.000 1
```